Material: TbZn10Ga2
Method: DFT, GGA-PBE
State: optimized geometry

Results
Theoretical density   7.41 Mg/m³
E   -1.94 eV per atom
Calculated formation energy   -0.13 eV/atom

Cell and atoms, written as POSCAR:
```
TbZn10Ga2
1.0
0.000 6.123 6.246
2.792 0.000 6.246
2.792 6.123 0.000
Tb Zn Ga
1 10 2
direct
0.000 0.000 0.000
0.000 0.500 0.000
0.003 0.355 0.645
0.283 0.497 0.503
0.355 0.003 0.997
0.497 0.283 0.717
0.500 0.000 0.500
0.503 0.717 0.283
0.645 0.997 0.003
0.717 0.503 0.497
0.997 0.645 0.355
0.000 0.000 0.500
0.500 0.500 0.000
```